Record 1
Below is Rb2Tl5Cd12 after structural relaxation, with properties calculated at the GGA-PBE level.

Structure (CIF):
```
data_Rb2Tl5Cd12
_cell_length_a 8.179
_cell_length_b 8.179
_cell_length_c 8.179
_cell_angle_alpha 85.54
_cell_angle_beta 85.54
_cell_angle_gamma 85.54
_space_group_name_H-M_alt 'P 1'
_space_group_IT_number 1
loop_
_space_group_symop_operation_xyz
'x,y,z'
loop_
_atom_site_label
_atom_site_fract_x
_atom_site_fract_y
_atom_site_fract_z
_atom_site_occupancy
Rb1 0.160 0.160 0.160 1
Rb2 0.840 0.840 0.840 1
Tl1 0.000 0.500 0.500 1
Tl2 0.398 0.398 0.398 1
Tl3 0.500 0.000 0.500 1
Tl4 0.500 0.500 0.000 1
Tl5 0.602 0.602 0.602 1
Cd1 0.150 0.150 0.675 1
Cd2 0.150 0.675 0.150 1
Cd3 0.184 0.500 0.816 1
Cd4 0.184 0.816 0.500 1
Cd5 0.325 0.850 0.850 1
Cd6 0.500 0.184 0.816 1
Cd7 0.500 0.816 0.184 1
Cd8 0.675 0.150 0.150 1
Cd9 0.816 0.184 0.500 1
Cd10 0.816 0.500 0.184 1
Cd11 0.850 0.325 0.850 1
Cd12 0.850 0.850 0.325 1
```

Uncorrected energy, Ha/atom: -0.048
Space group: No. 166

---

Record 2
Below is ScPtSe3 after structural relaxation, with properties calculated at the GGA-PBE level.

Structure (CIF):
```
data_ScPtSe3
_cell_length_a 5.054
_cell_length_b 5.054
_cell_length_c 5.054
_cell_angle_alpha 90.00
_cell_angle_beta 90.00
_cell_angle_gamma 90.00
_space_group_name_H-M_alt 'P 1'
_space_group_IT_number 1
loop_
_space_group_symop_operation_xyz
'x,y,z'
loop_
_atom_site_label
_atom_site_fract_x
_atom_site_fract_y
_atom_site_fract_z
_atom_site_occupancy
Sc1 0.000 0.000 0.000 1
Pt1 0.500 0.500 0.500 1
Se1 0.000 0.000 0.500 1
Se2 0.000 0.500 0.000 1
Se3 0.500 0.000 0.000 1
```

Formation energy (no corrections), eV/f.u.: 1.2
Space group: No. 221

---

Record 3
Below is Li2PmScTe4 after structural relaxation, with properties calculated at the GGA-PBE level.

Structure (CIF):
```
data_Li2PmScTe4
_cell_length_a 7.449
_cell_length_b 4.303
_cell_length_c 7.461
_cell_angle_alpha 90.00
_cell_angle_beta 109.38
_cell_angle_gamma 90.00
_space_group_name_H-M_alt 'P 1'
_space_group_IT_number 1
loop_
_space_group_symop_operation_xyz
'x,y,z'
loop_
_atom_site_label
_atom_site_fract_x
_atom_site_fract_y
_atom_site_fract_z
_atom_site_occupancy
Li1 0.000 0.000 0.000 1
Li2 0.000 0.500 0.500 1
Pm1 0.500 0.000 0.500 1
Sc1 0.500 0.500 0.000 1
Te1 0.243 0.500 0.232 1
Te2 0.252 0.000 0.766 1
Te3 0.748 0.000 0.234 1
Te4 0.757 0.500 0.768 1
```

Formation energy (no corrections), eV/f.u.: -9.8
Space group: No. 10

---

Record 4
Below is VTcP after structural relaxation, with properties calculated at the GGA-PBE level.

Structure (CIF):
```
data_VTcP
_cell_length_a 4.853
_cell_length_b 4.853
_cell_length_c 4.853
_cell_angle_alpha 144.20
_cell_angle_beta 144.20
_cell_angle_gamma 51.53
_space_group_name_H-M_alt 'P 1'
_space_group_IT_number 1
loop_
_space_group_symop_operation_xyz
'x,y,z'
loop_
_atom_site_label
_atom_site_fract_x
_atom_site_fract_y
_atom_site_fract_z
_atom_site_occupancy
V1 0.000 0.000 0.000 1
Tc1 0.309 0.309 0.000 1
P1 0.655 0.655 0.000 1
```

Uncorrected energy, Ha/atom: -0.318
Space group: No. 107

---

Record 5
Below is KBr2Cl2 after structural relaxation, with properties calculated at the GGA-PBE level.

Structure (CIF):
```
data_KBr2Cl2
_cell_length_a 8.564
_cell_length_b 8.564
_cell_length_c 5.061
_cell_angle_alpha 90.00
_cell_angle_beta 90.00
_cell_angle_gamma 90.00
_space_group_name_H-M_alt 'P 1'
_space_group_IT_number 1
loop_
_space_group_symop_operation_xyz
'x,y,z'
loop_
_atom_site_label
_atom_site_fract_x
_atom_site_fract_y
_atom_site_fract_z
_atom_site_occupancy
K1 0.000 0.000 0.000 1
K2 0.500 0.500 0.000 1
Br1 0.201 0.299 0.500 1
Br2 0.299 0.799 0.500 1
Br3 0.701 0.201 0.500 1
Br4 0.799 0.701 0.500 1
Cl1 0.175 0.325 0.000 1
Cl2 0.325 0.825 0.000 1
Cl3 0.675 0.175 0.000 1
Cl4 0.825 0.675 0.000 1
```

Formation energy (no corrections), eV/f.u.: -3.5
Space group: No. 127

---

Record 6
Below is SrTl3Ni after structural relaxation, with properties calculated at the GGA-PBE level.

Structure (CIF):
```
data_SrTl3Ni
_cell_length_a 5.188
_cell_length_b 5.188
_cell_length_c 5.188
_cell_angle_alpha 90.00
_cell_angle_beta 90.00
_cell_angle_gamma 90.00
_space_group_name_H-M_alt 'P 1'
_space_group_IT_number 1
loop_
_space_group_symop_operation_xyz
'x,y,z'
loop_
_atom_site_label
_atom_site_fract_x
_atom_site_fract_y
_atom_site_fract_z
_atom_site_occupancy
Sr1 0.000 0.000 0.000 1
Tl1 0.000 0.500 0.500 1
Tl2 0.500 0.000 0.500 1
Tl3 0.500 0.500 0.000 1
Ni1 0.500 0.500 0.500 1
```

Uncorrected energy, Ha/atom: -0.110
Space group: No. 221

---

Record 7
Below is Tm2MgZr4 after structural relaxation, with properties calculated at the GGA-PBE level.

Structure (CIF):
```
data_Tm2MgZr4
_cell_length_a 17.227
_cell_length_b 17.227
_cell_length_c 3.208
_cell_angle_alpha 90.00
_cell_angle_beta 90.00
_cell_angle_gamma 169.33
_space_group_name_H-M_alt 'P 1'
_space_group_IT_number 1
loop_
_space_group_symop_operation_xyz
'x,y,z'
loop_
_atom_site_label
_atom_site_fract_x
_atom_site_fract_y
_atom_site_fract_z
_atom_site_occupancy
Tm1 0.203 0.797 0.000 1
Tm2 0.797 0.203 0.000 1
Mg1 0.500 0.500 0.500 1
Zr1 0.068 0.932 0.000 1
Zr2 0.367 0.633 0.500 1
Zr3 0.633 0.367 0.500 1
Zr4 0.932 0.068 0.000 1
```

Uncorrected energy, Ha/atom: -0.232
Space group: No. 65

---

Record 8
Below is PbW after structural relaxation, with properties calculated at the GGA-PBE level.

Structure (CIF):
```
data_PbW
_cell_length_a 3.237
_cell_length_b 3.237
_cell_length_c 4.460
_cell_angle_alpha 90.00
_cell_angle_beta 90.00
_cell_angle_gamma 120.00
_space_group_name_H-M_alt 'P 1'
_space_group_IT_number 1
loop_
_space_group_symop_operation_xyz
'x,y,z'
loop_
_atom_site_label
_atom_site_fract_x
_atom_site_fract_y
_atom_site_fract_z
_atom_site_occupancy
Pb1 0.000 0.000 0.000 1
W1 0.667 0.333 0.500 1
```

Uncorrected energy, Ha/atom: -0.262
Space group: No. 187

---

Record 9
Below is NdCu9Sn2 after structural relaxation, with properties calculated at the GGA-PBE level.

Structure (CIF):
```
data_NdCu9Sn2
_cell_length_a 8.534
_cell_length_b 8.534
_cell_length_c 5.024
_cell_angle_alpha 90.00
_cell_angle_beta 90.00
_cell_angle_gamma 90.00
_space_group_name_H-M_alt 'P 1'
_space_group_IT_number 1
loop_
_space_group_symop_operation_xyz
'x,y,z'
loop_
_atom_site_label
_atom_site_fract_x
_atom_site_fract_y
_atom_site_fract_z
_atom_site_occupancy
Nd1 0.000 0.000 0.000 1
Nd2 0.500 0.500 0.000 1
Cu1 0.000 0.500 0.500 1
Cu2 0.066 0.205 0.500 1
Cu3 0.172 0.672 0.247 1
Cu4 0.172 0.672 0.753 1
Cu5 0.205 0.934 0.500 1
Cu6 0.295 0.434 0.500 1
Cu7 0.328 0.172 0.247 1
Cu8 0.328 0.172 0.753 1
Cu9 0.434 0.705 0.500 1
Cu10 0.500 0.000 0.500 1
Cu11 0.566 0.295 0.500 1
Cu12 0.672 0.828 0.247 1
Cu13 0.672 0.828 0.753 1
Cu14 0.705 0.566 0.500 1
Cu15 0.795 0.066 0.500 1
Cu16 0.828 0.328 0.247 1
Cu17 0.828 0.328 0.753 1
Cu18 0.934 0.795 0.500 1
Sn1 0.129 0.371 0.000 1
Sn2 0.371 0.871 0.000 1
Sn3 0.629 0.129 0.000 1
Sn4 0.871 0.629 0.000 1
```

Uncorrected energy, Ha/atom: -0.158
Space group: No. 127

---

Record 10
Below is Sm4PPdSe2 after structural relaxation, with properties calculated at the GGA-PBE level.

Structure (CIF):
```
data_Sm4PPdSe2
_cell_length_a 7.244
_cell_length_b 4.118
_cell_length_c 7.249
_cell_angle_alpha 90.00
_cell_angle_beta 108.77
_cell_angle_gamma 90.00
_space_group_name_H-M_alt 'P 1'
_space_group_IT_number 1
loop_
_space_group_symop_operation_xyz
'x,y,z'
loop_
_atom_site_label
_atom_site_fract_x
_atom_site_fract_y
_atom_site_fract_z
_atom_site_occupancy
Sm1 0.238 0.000 0.236 1
Sm2 0.248 0.500 0.761 1
Sm3 0.752 0.500 0.239 1
Sm4 0.762 0.000 0.764 1
P1 0.000 0.500 0.000 1
Pd1 0.500 0.000 0.000 1
Se1 0.000 0.000 0.500 1
Se2 0.500 0.500 0.500 1
```

Formation energy (no corrections), eV/f.u.: -11.9
Space group: No. 10

---

Record 11
Below is Li5Zn3Pt after structural relaxation, with properties calculated at the GGA-PBE level.

Structure (CIF):
```
data_Li5Zn3Pt
_cell_length_a 5.924
_cell_length_b 5.924
_cell_length_c 10.300
_cell_angle_alpha 96.99
_cell_angle_beta 96.99
_cell_angle_gamma 109.22
_space_group_name_H-M_alt 'P 1'
_space_group_IT_number 1
loop_
_space_group_symop_operation_xyz
'x,y,z'
loop_
_atom_site_label
_atom_site_fract_x
_atom_site_fract_y
_atom_site_fract_z
_atom_site_occupancy
Li1 0.112 0.595 0.290 1
Li2 0.167 0.167 0.333 1
Li3 0.170 0.170 0.839 1
Li4 0.243 0.757 0.000 1
Li5 0.405 0.888 0.710 1
Li6 0.595 0.112 0.290 1
Li7 0.757 0.243 0.000 1
Li8 0.830 0.830 0.161 1
Li9 0.833 0.833 0.667 1
Li10 0.888 0.405 0.710 1
Zn1 0.164 0.164 0.583 1
Zn2 0.172 0.172 0.088 1
Zn3 0.500 0.500 0.000 1
Zn4 0.500 0.500 0.500 1
Zn5 0.828 0.828 0.912 1
Zn6 0.836 0.836 0.417 1
Pt1 0.493 0.493 0.749 1
Pt2 0.507 0.507 0.251 1
```

Uncorrected energy, Ha/atom: -0.085
Space group: No. 12

---

Record 12
Below is YBe5 after structural relaxation, with properties calculated at the GGA-PBE level.

Structure (CIF):
```
data_YBe5
_cell_length_a 2.785
_cell_length_b 2.785
_cell_length_c 8.996
_cell_angle_alpha 90.00
_cell_angle_beta 90.00
_cell_angle_gamma 90.00
_space_group_name_H-M_alt 'P 1'
_space_group_IT_number 1
loop_
_space_group_symop_operation_xyz
'x,y,z'
loop_
_atom_site_label
_atom_site_fract_x
_atom_site_fract_y
_atom_site_fract_z
_atom_site_occupancy
Y1 0.000 0.000 0.000 1
Be1 0.000 0.000 0.366 1
Be2 0.000 0.000 0.634 1
Be3 0.500 0.500 0.239 1
Be4 0.500 0.500 0.500 1
Be5 0.500 0.500 0.761 1
```

Uncorrected energy, Ha/atom: -0.144
Space group: No. 123